(1)
This record from Alexandria describes an optimized crystal structure of Pm7Dy3Y2. The functional is PBE.

Properties
N(E_F) ... 1.618 states/eV/atom
Energy ... -4.887 eV per atom
Energy of formation ... 0.11 eV per atom
Excess energy over the best structure of this formula in the dataset ... 41.8 meV per atom

a = 3.630 Å, b = 5.797 Å, c = 19.382 Å
α = 98.60°, β = 90.00°, γ = 90.00°
Fractional coordinates of all 12 atoms:
Pm 0.000 0.408 0.815
Pm 0.000 0.768 0.536
Pm 0.000 0.000 0.000
Pm 0.000 0.592 0.185
Pm 0.500 0.072 0.144
Pm 0.500 0.928 0.856
Pm 0.000 0.232 0.464
Dy 0.500 0.500 0.000
Dy 0.500 0.685 0.370
Dy 0.500 0.315 0.630
Y 0.000 0.851 0.703
Y 0.000 0.149 0.297

***

(2)
This record from Alexandria describes an optimized crystal structure of Pm2Dy5Y2. The functional is PBE.

Properties
N(E_F) ... 1.624 states/eV/atom
Energy ... -4.840 eV per atom
Energy of formation ... 0.21 eV per atom
Excess energy over the best structure of this formula in the dataset ... 190.6 meV per atom

a = 11.814 Å, b = 6.736 Å, c = 10.097 Å
α = 109.49°, β = 125.80°, γ = 90.00°
Fractional coordinates of all 18 atoms:
Pm 0.127 0.687 0.254
Pm 0.873 0.432 0.746
Pm 0.627 0.187 0.254
Pm 0.373 0.932 0.746
Dy 0.198 0.655 0.895
Dy 0.802 0.759 0.105
Dy 0.198 0.155 0.895
Dy 0.802 0.259 0.105
Dy 0.380 0.026 0.286
Dy 0.620 0.740 0.714
Dy 0.406 0.526 0.286
Dy 0.594 0.240 0.714
Dy 0.005 0.658 0.500
Dy 0.995 0.158 0.500
Y 0.000 0.024 0.000
Y 0.500 0.524 0.000
Y 0.261 0.354 0.500
Y 0.739 0.854 0.500

***

(3)
This record from Alexandria describes an optimized crystal structure of Pm7Dy4Y. The functional is PBE.

Properties
N(E_F) ... 1.496 states/eV/atom
Energy ... -4.583 eV per atom
Energy of formation ... 0.26 eV per atom
Excess energy over the best structure of this formula in the dataset ... 254.7 meV per atom

a = 6.016 Å, b = 11.676 Å, c = 6.755 Å
α = 83.58°, β = 63.56°, γ = 75.07°
Fractional coordinates of all 12 atoms:
Pm 0.788 0.921 0.503
Pm 0.212 0.079 0.497
Pm 0.061 0.678 0.200
Pm 0.939 0.322 0.800
Pm 0.370 0.501 0.760
Pm 0.500 0.000 0.000
Pm 0.630 0.499 0.240
Dy 0.641 0.224 0.495
Dy 0.359 0.776 0.505
Dy 0.755 0.680 0.809
Dy 0.245 0.320 0.191
Y 0.000 0.000 0.000

***

(4)
This record from Alexandria describes an optimized crystal structure of Pm3Dy4Y5. The functional is PBE.

Properties
N(E_F) ... 1.593 states/eV/atom
Energy ... -5.183 eV per atom
Energy of formation ... 0.23 eV per atom
Excess energy over the best structure of this formula in the dataset ... 214.2 meV per atom

a = 5.928 Å, b = 8.583 Å, c = 9.689 Å
α = 106.09°, β = 72.19°, γ = 69.80°
Site moments in Bohr magnetons follow the coordinates.
Fractional coordinates of all 12 atoms:
Pm 0.521 0.687 0.271  0.00
Pm 0.000 0.500 0.500  0.10
Pm 0.479 0.313 0.729  0.00
Dy 0.860 0.221 0.058  0.00
Dy 0.167 0.044 0.622  0.00
Dy 0.833 0.956 0.378  0.00
Dy 0.140 0.779 0.942  0.00
Y 0.626 0.949 0.800  0.00
Y 0.500 0.500 0.500  0.10
Y 0.216 0.457 0.112  0.01
Y 0.784 0.543 0.888  0.01
Y 0.374 0.051 0.200  0.00

***

(5)
This record from Alexandria describes an optimized crystal structure of Pm2Dy3Y2. The functional is PBE.

Properties
N(E_F) ... 1.323 states/eV/atom
Energy ... -5.159 eV per atom
Energy of formation ... 0.02 eV per atom
Excess energy over the best structure of this formula in the dataset ... 0.0 meV per atom

a = 3.582 Å, b = 11.889 Å, c = 6.191 Å
α = 69.72°, β = 73.15°, γ = 98.65°
Fractional coordinates of all 7 atoms:
Pm 0.858 0.144 0.429
Pm 0.142 0.856 0.571
Dy 0.000 0.000 0.000
Dy 0.572 0.429 0.284
Dy 0.428 0.571 0.716
Y 0.717 0.288 0.854
Y 0.283 0.712 0.146

***

(6)
This record from Alexandria describes an optimized crystal structure of Pm2Dy6Y. The functional is PBE.

Properties
N(E_F) ... 1.445 states/eV/atom
Energy ... -4.733 eV per atom
Energy of formation ... 0.11 eV per atom
Excess energy over the best structure of this formula in the dataset ... 0.0 meV per atom

a = 6.185 Å, b = 11.793 Å, c = 11.793 Å
α = 96.41°, β = 60.72°, γ = 60.72°
Fractional coordinates of all 18 atoms:
Pm 0.000 0.649 0.851
Pm 0.500 0.149 0.351
Pm 0.000 0.351 0.149
Pm 0.500 0.851 0.649
Dy 0.317 0.665 0.515
Dy 0.183 0.485 0.335
Dy 0.683 0.335 0.485
Dy 0.817 0.515 0.665
Dy 0.970 0.905 0.405
Dy 0.530 0.595 0.095
Dy 0.030 0.095 0.595
Dy 0.470 0.405 0.905
Dy 0.182 0.834 0.986
Dy 0.318 0.014 0.166
Dy 0.818 0.166 0.014
Dy 0.682 0.986 0.834
Y 0.250 0.250 0.750
Y 0.750 0.750 0.250

***

(7)
This record from Alexandria describes an optimized crystal structure of Pm6Dy12Y. The functional is PBE.

Properties
N(E_F) ... 1.641 states/eV/atom
Energy ... -4.535 eV per atom
Energy of formation ... 0.21 eV per atom
Excess energy over the best structure of this formula in the dataset ... 86.9 meV per atom

a = 8.740 Å, b = 8.740 Å, c = 8.740 Å
α = 98.68°, β = 98.68°, γ = 98.68°
Fractional coordinates of all 19 atoms:
Pm 0.903 0.343 0.903
Pm 0.903 0.903 0.343
Pm 0.343 0.903 0.903
Pm 0.097 0.097 0.657
Pm 0.097 0.657 0.097
Pm 0.657 0.097 0.097
Dy 0.758 0.242 0.500
Dy 0.356 0.083 0.356
Dy 0.356 0.356 0.083
Dy 0.917 0.644 0.644
Dy 0.644 0.644 0.917
Dy 0.644 0.917 0.644
Dy 0.500 0.758 0.242
Dy 0.242 0.500 0.758
Dy 0.242 0.758 0.500
Dy 0.500 0.242 0.758
Dy 0.758 0.500 0.242
Dy 0.083 0.356 0.356
Y 0.000 0.000 0.000

***

(8)
This record from Alexandria describes an optimized crystal structure of Pm5Dy2Y2. The functional is PBE.

Properties
N(E_F) ... 1.398 states/eV/atom
Energy ... -4.886 eV per atom
Energy of formation ... 0.21 eV per atom
Excess energy over the best structure of this formula in the dataset ... 149.1 meV per atom

a = 11.941 Å, b = 6.767 Å, c = 10.162 Å
α = 109.45°, β = 125.98°, γ = 90.00°
Fractional coordinates of all 18 atoms:
Pm 0.184 0.664 0.901
Pm 0.816 0.763 0.099
Pm 0.217 0.164 0.901
Pm 0.783 0.263 0.099
Pm 0.371 0.032 0.289
Pm 0.629 0.743 0.711
Pm 0.418 0.532 0.289
Pm 0.582 0.243 0.711
Pm 0.017 0.650 0.500
Pm 0.983 0.150 0.500
Dy 0.000 0.058 0.000
Dy 0.500 0.558 0.000
Dy 0.249 0.336 0.500
Dy 0.751 0.836 0.500
Y 0.139 0.673 0.257
Y 0.861 0.417 0.743
Y 0.618 0.173 0.257
Y 0.382 0.917 0.743

***

(9)
This record from Alexandria describes an optimized crystal structure of Pm3Dy2Y. The functional is PBE.

Properties
N(E_F) ... 1.485 states/eV/atom
Energy ... -4.915 eV per atom
Energy of formation ... 0.07 eV per atom
Excess energy over the best structure of this formula in the dataset ... 0.0 meV per atom

a = 3.572 Å, b = 9.700 Å, c = 11.619 Å
α = 85.95°, β = 90.00°, γ = 90.00°
Fractional coordinates of all 12 atoms:
Pm 0.750 0.924 0.120
Pm 0.250 0.076 0.880
Pm 0.750 0.760 0.860
Pm 0.250 0.240 0.140
Pm 0.250 0.401 0.397
Pm 0.750 0.599 0.603
Dy 0.250 0.441 0.856
Dy 0.750 0.559 0.144
Dy 0.750 0.082 0.380
Dy 0.250 0.918 0.620
Y 0.250 0.759 0.355
Y 0.750 0.241 0.645

***

(10)
This record from Alexandria describes an optimized crystal structure of Pm6Dy8Y. The functional is PBE.

Properties
N(E_F) ... 1.446 states/eV/atom
Energy ... -4.607 eV per atom
Energy of formation ... 0.18 eV per atom
Excess energy over the best structure of this formula in the dataset ... 56.8 meV per atom

a = 6.523 Å, b = 9.403 Å, c = 9.403 Å
α = 120.00°, β = 90.00°, γ = 90.00°
Fractional coordinates of all 15 atoms:
Pm 0.836 0.746 0.033
Pm 0.836 0.967 0.713
Pm 0.836 0.287 0.254
Pm 0.164 0.254 0.967
Pm 0.164 0.033 0.287
Pm 0.164 0.713 0.746
Dy 0.659 0.093 0.438
Dy 0.659 0.562 0.655
Dy 0.659 0.345 0.907
Dy 0.341 0.907 0.562
Dy 0.341 0.438 0.345
Dy 0.341 0.655 0.093
Dy 0.120 0.333 0.667
Dy 0.880 0.667 0.333
Y 0.500 0.000 0.000

***

(11)
This record from Alexandria describes an optimized crystal structure of Pm6Dy12Y. The functional is PBE.

Properties
N(E_F) ... 1.571 states/eV/atom
Energy ... -4.622 eV per atom
Energy of formation ... 0.13 eV per atom
Excess energy over the best structure of this formula in the dataset ... 0.0 meV per atom

a = 8.678 Å, b = 8.678 Å, c = 8.678 Å
α = 79.69°, β = 79.69°, γ = 79.69°
Fractional coordinates of all 19 atoms:
Pm 0.768 0.768 0.164
Pm 0.836 0.232 0.232
Pm 0.232 0.836 0.232
Pm 0.232 0.232 0.836
Pm 0.164 0.768 0.768
Pm 0.768 0.164 0.768
Dy 0.804 0.486 0.486
Dy 0.486 0.804 0.486
Dy 0.486 0.486 0.804
Dy 0.196 0.514 0.514
Dy 0.514 0.196 0.514
Dy 0.514 0.514 0.196
Dy 0.136 0.136 0.486
Dy 0.864 0.514 0.864
Dy 0.514 0.864 0.864
Dy 0.864 0.864 0.514
Dy 0.136 0.486 0.136
Dy 0.486 0.136 0.136
Y 0.000 0.000 0.000

***

(12)
This record from Alexandria describes an optimized crystal structure of Pm6DyY5. The functional is PBE.

Properties
N(E_F) ... 1.207 states/eV/atom
Energy ... -5.441 eV per atom
Energy of formation ... 0.01 eV per atom

a = 11.871 Å, b = 6.264 Å, c = 6.263 Å
α = 59.99°, β = 84.98°, γ = 79.92°
Fractional coordinates of all 12 atoms:
Pm 0.750 0.083 0.333
Pm 0.250 0.584 0.333
Pm 0.250 0.250 0.000
Pm 0.750 0.750 0.000
Pm 0.750 0.416 0.667
Pm 0.250 0.917 0.667
Dy 0.000 0.000 0.000
Y 0.500 0.167 0.667
Y 0.000 0.333 0.333
Y 0.500 0.500 0.000
Y 0.000 0.667 0.667
Y 0.500 0.833 0.333